Record 1
Below is crystalline RbNaCd2Hg at its relaxed geometry, with properties calculated at the PBE level.

a = 7.692 Å, b = 7.692 Å, c = 7.692 Å
α = 143.44°, β = 141.92°, γ = 53.81°
Element x y z (fractional)
Rb 0.000 0.000 0.000
Na 0.256 0.756 0.500
Cd 0.617 0.617 0.000
Cd 0.755 0.255 0.500
Hg 0.398 0.398 0.000

Properties
- Formation enthalpy at 0 K: -0.113 eV/atom
- E above lowest polymorph: 0.000 eV/atom

Record 2
Below is crystalline Rb2Na4Cd2Hg at its relaxed geometry, with properties calculated at the PBE level.

a = 6.833 Å, b = 6.833 Å, c = 7.981 Å
α = 96.01°, β = 96.01°, γ = 64.02°
Element x y z (fractional)
Rb 0.162 0.162 0.393
Rb 0.838 0.838 0.607
Na 0.130 0.636 0.137
Na 0.364 0.870 0.863
Na 0.636 0.130 0.137
Na 0.870 0.364 0.863
Cd 0.374 0.374 0.805
Cd 0.626 0.626 0.195
Hg 0.500 0.500 0.500

Properties
- Formation enthalpy at 0 K: -0.072 eV/atom

Record 3
Below is crystalline RbNaCd2Hg4 at its relaxed geometry, with properties calculated at the PBE level.

a = 10.897 Å, b = 10.897 Å, c = 10.897 Å
α = 27.27°, β = 27.27°, γ = 27.27°
Element x y z (fractional)
Rb 0.000 0.000 0.000
Na 0.500 0.500 0.500
Cd 0.229 0.229 0.229
Cd 0.771 0.771 0.771
Hg 0.126 0.126 0.126
Hg 0.401 0.401 0.401
Hg 0.599 0.599 0.599
Hg 0.874 0.874 0.874

Properties
- Formation enthalpy at 0 K: -0.162 eV/atom

Record 4
Below is crystalline RbNaCd2Hg at its relaxed geometry, with properties calculated at the PBE level.

a = 5.806 Å, b = 5.806 Å, c = 5.762 Å
α = 90.00°, β = 90.00°, γ = 90.00°
Element x y z (fractional)
Rb 0.000 0.000 0.000
Na 0.500 0.500 0.000
Cd 0.000 0.500 0.500
Cd 0.500 0.000 0.500
Hg 0.500 0.500 0.500

Properties
- Formation enthalpy at 0 K: -0.004 eV/atom
- E above lowest polymorph: 0.109 eV/atom

Record 5
Below is crystalline Rb3Na2Cd2Hg4 at its relaxed geometry, with properties calculated at the PBE level.

a = 5.393 Å, b = 5.393 Å, c = 16.632 Å
α = 90.00°, β = 90.00°, γ = 120.00°
Element x y z (fractional)
Rb 0.000 0.000 0.000
Rb 0.000 0.000 0.265
Rb 0.000 0.000 0.735
Na 0.333 0.667 0.564
Na 0.667 0.333 0.436
Cd 0.333 0.667 0.137
Cd 0.667 0.333 0.863
Hg 0.333 0.667 0.373
Hg 0.333 0.667 0.866
Hg 0.667 0.333 0.134
Hg 0.667 0.333 0.627

Properties
- Formation enthalpy at 0 K: -0.128 eV/atom

Record 6
Below is crystalline RbNaCd2Hg at its relaxed geometry, with properties calculated at the PBE level.

a = 6.665 Å, b = 6.665 Å, c = 6.551 Å
α = 90.00°, β = 90.00°, γ = 90.00°
Element x y z (fractional)
Rb 0.000 0.000 0.000
Na 0.500 0.500 0.500
Cd 0.000 0.500 0.000
Cd 0.500 0.000 0.000
Hg 0.000 0.000 0.500

Properties
- Formation enthalpy at 0 K: 0.367 eV/atom
- E above lowest polymorph: 0.480 eV/atom